The following is a PBE-GGA calculation of a geometry-optimized PmCuGe2Pt4 structure, from the Alexandria database.

a b c (Å): 4.2811 4.2811 9.2010
angles (deg): 76.55 76.55 60.00
Last column: nearest neighbours and their distance in Å.
Positions (direct):
1 Cu 0.5000 0.5000 0.5000  8 Pt 2.55-2.60
2 Pt 0.5959 0.5959 0.2123  3 Ge 2.53, 1 Cu 2.55
3 Pt 0.8642 0.8642 0.4074  3 Cu 2.60, 4 Ge 2.75-2.84
4 Pt 0.1358 0.1358 0.5926  3 Cu 2.60, 4 Ge 2.75-2.84
5 Pt 0.4041 0.4041 0.7877  3 Ge 2.53, 1 Cu 2.55
6 Pm 0.0000 0.0000 0.0000  6 Pt 3.11, 6 Ge 3.45
7 Ge 0.7573 0.7573 0.7280  6 Pt 2.53-2.75
8 Ge 0.2427 0.2427 0.2720  6 Pt 2.53-2.75

Summary:
**SG**: R-3m, No. 166
**Mass density**: 13.39 g cm⁻³
**E_form**: -0.5943 eV/atom



The following is a PBE-GGA calculation of a geometry-optimized PrCd2Hg4 structure, from the Alexandria database.

a b c (Å): 5.0510 5.0510 8.7830
angles (deg): 73.29 73.29 60.00
Last column: nearest neighbours and their distance in Å.
Positions (direct):
1 Hg 0.3903 0.3903 0.8290  3 Cd 2.97, 3 Pr 3.24
2 Hg 0.8656 0.8656 0.4031  4 Cd 2.96-3.22
3 Hg 0.1344 0.1344 0.5969  4 Cd 2.96-3.22
4 Hg 0.6097 0.6097 0.1710  3 Cd 2.97, 3 Pr 3.24
5 Cd 0.7465 0.7465 0.7605  7 Hg 2.96-3.22
6 Cd 0.2535 0.2535 0.2395  7 Hg 2.96-3.22
7 Pr 0.0000 0.0000 0.0000  8 Hg 3.24-3.34, 6 Cd 3.53

Summary:
**SG**: R-3m, No. 166
**Mass density**: 10.60 g cm⁻³
**E_form**: -0.2148 eV/atom
**ΔE to the lowest computed polymorph**: 0.0 meV/atom



The following is a PBE-GGA calculation of a geometry-optimized Sm4Th3Sc2 structure, from the Alexandria database.

a b c (Å): 3.5199 3.5199 26.3141
angles (deg): 90.00 90.00 120.00
Last column: nearest neighbours and their distance in Å.
Positions (direct):
1 Sc 0.6667 0.3333 0.0845  1 Sm 3.20, 3 Th 3.36, 6 Sc 3.52
2 Sc 0.6667 0.3333 0.8774  3 Sm 3.41, 3 Th 3.44, 6 Sc 3.52
3 Th 0.0000 0.0000 0.9831  6 Sc 3.36-3.44, 6 Th 3.52
4 Th 0.0000 0.0000 0.3169  6 Th 3.52, 6 Sm 3.55-3.60
5 Th 0.6667 0.3333 0.6588  6 Th 3.52, 6 Sm 3.58-3.64
6 Sm 0.6667 0.3333 0.4299  9 Sm 3.52-3.68, 3 Th 3.60
7 Sm 0.6667 0.3333 0.2063  1 Sc 3.20, 6 Sm 3.52, 3 Th 3.55
8 Sm 0.0000 0.0000 0.5467  9 Sm 3.52-3.68, 3 Th 3.58
9 Sm 0.0000 0.0000 0.7734  3 Sc 3.41, 6 Sm 3.52, 3 Th 3.64

Summary:
**SG**: P3m1, No. 156
**Mass density**: 8.16 g cm⁻³
**E_form**: 0.1129 eV/atom



The following is a PBE-GGA calculation of a geometry-optimized TaTlIn structure, from the Alexandria database.

a b c (Å): 4.8221 4.8221 4.8221
angles (deg): 60.00 60.00 60.00
Last column: nearest neighbours and their distance in Å.
Positions (direct):
1 In 0.7500 0.7500 0.7500  4 Tl 2.95, 4 Ta 2.95
2 Tl 0.5000 0.5000 0.5000  4 In 2.95
3 Ta 0.0000 0.0000 0.0000  4 In 2.95

Summary:
**SG**: F-43m, No. 216
**Mass density**: 10.47 g cm⁻³
**E_form**: 1.1756 eV/atom
**ΔE to the lowest computed polymorph**: 743.8 meV/atom



The following is a PBE-GGA calculation of a geometry-optimized ThGeOs structure, from the Alexandria database.

a b c (Å): 4.4849 7.5718 14.5920
angles (deg): 90.00 90.00 90.00
Last column: nearest neighbours and their distance in Å.
Positions (direct):
1 Th 0.0000 0.1952 0.7526  4 Os 2.83-3.13, 2 Ge 3.12
2 Th 0.5000 0.8048 0.7474  4 Os 2.83-3.13, 2 Ge 3.12
3 Th 0.0000 0.1952 0.2474  4 Os 2.83-3.13, 2 Ge 3.12
4 Th 0.5000 0.6922 0.5000  6 Ge 3.04-3.10, 2 Os 3.22
5 Th 0.0000 0.2675 0.5000  6 Os 3.14-3.31, 6 Ge 3.22-3.27
6 Th 0.5000 0.8048 0.2526  4 Os 2.83-3.13, 2 Ge 3.12
7 Th 0.5000 0.7325 0.0000  6 Os 3.14-3.31, 6 Ge 3.22-3.27
8 Th 0.0000 0.3078 0.0000  6 Ge 3.04-3.10, 2 Os 3.22
9 Os 0.5000 0.4434 0.1705  4 Ge 2.56-2.72
10 Os 0.5000 0.4434 0.8295  4 Ge 2.56-2.72
11 Os 0.5000 0.0637 0.6078  3 Ge 2.61-2.62, 1 Th 2.83
12 Os 0.0000 0.9363 0.8922  3 Ge 2.61-2.62, 1 Th 2.83
13 Os 0.0000 0.5566 0.3295  4 Ge 2.56-2.72
14 Os 0.0000 0.5566 0.6705  4 Ge 2.56-2.72
15 Os 0.0000 0.9363 0.1078  3 Ge 2.61-2.62, 1 Th 2.83
16 Os 0.5000 0.0637 0.3922  3 Ge 2.61-2.62, 1 Th 2.83
17 Ge 0.5000 0.1132 0.0978  3 Os 2.62-2.72, 1 Ge 2.85
18 Ge 0.5000 0.1132 0.9022  3 Os 2.62-2.72, 1 Ge 2.85
19 Ge 0.5000 0.3995 0.3516  4 Os 2.56-2.66
20 Ge 0.0000 0.8868 0.5978  3 Os 2.62-2.72, 1 Ge 2.85
21 Ge 0.0000 0.8868 0.4022  3 Os 2.62-2.72, 1 Ge 2.85
22 Ge 0.5000 0.3995 0.6484  4 Os 2.56-2.66
23 Ge 0.0000 0.6005 0.1484  4 Os 2.56-2.66
24 Ge 0.0000 0.6005 0.8516  4 Os 2.56-2.66

Summary:
**SG**: Pmmn, No. 59
**Mass density**: 13.27 g cm⁻³
**E_form**: -0.4994 eV/atom



The following is a PBE-GGA calculation of a geometry-optimized MnTlTe3Pd structure, from the Alexandria database.

a b c (Å): 3.9182 8.4695 10.5118
angles (deg): 113.85 90.00 90.00
Last column: nearest neighbours and their distance in Å.
Positions (direct):
1 Te 0.2500 0.7353 0.4320  3 Pd 2.68-2.76, 1 Mn 2.70
2 Te 0.7500 0.4575 0.1215  3 Mn 2.76-2.77
3 Te 0.7500 0.2647 0.5680  3 Pd 2.68-2.76, 1 Mn 2.70
4 Te 0.2500 0.5425 0.8785  3 Mn 2.76-2.77
5 Te 0.2500 0.0943 0.8723  1 Pd 2.66, 2 Mn 2.74
6 Te 0.7500 0.9057 0.1277  1 Pd 2.66, 2 Mn 2.74
7 Mn 0.2500 0.7029 0.1661  6 Te 2.70-2.77
8 Mn 0.7500 0.2971 0.8339  6 Te 2.70-2.77
9 Tl 0.7500 0.7404 0.7077  7 Te 3.41-3.69
10 Tl 0.2500 0.2596 0.2923  7 Te 3.41-3.69
11 Pd 0.7500 0.9214 0.3855  4 Te 2.66-2.76, 2 Pd 2.97
12 Pd 0.2500 0.0786 0.6145  4 Te 2.66-2.76, 2 Pd 2.97

Summary:
**SG**: P2_1/m, No. 11
**Mass density**: 7.79 g cm⁻³



The following is a PBE-GGA calculation of a geometry-optimized Nd4GaGeN structure, from the Alexandria database.

a b c (Å): 6.8435 6.8439 8.6000
angles (deg): 90.00 113.45 90.00
Last column: nearest neighbours and their distance in Å.
Positions (direct):
1 Nd 0.0000 0.5000 0.5000  2 N 2.42
2 Nd 0.0000 0.0000 0.5000  2 N 2.42
3 Nd 0.5799 0.2500 0.1598  1 N 2.66
4 Nd 0.5000 0.0000 0.5000  2 N 2.42
5 Nd 0.9209 0.2500 0.8419  1 N 2.72, 1 Ge 3.04
6 Nd 0.4201 0.7500 0.8402  1 N 2.66
7 Nd 0.0791 0.7500 0.1581  1 N 2.72, 1 Ge 3.04
8 Nd 0.5000 0.5000 0.5000  2 N 2.42
9 Ga 0.6147 0.7500 0.2294  5 Nd 3.07-3.23
10 Ga 0.3853 0.2500 0.7706  5 Nd 3.07-3.23
11 N 0.2513 0.7500 0.5027  5 Nd 2.42-2.66
12 N 0.7487 0.2500 0.4973  5 Nd 2.42-2.66
13 Ge 0.1134 0.2500 0.2267  5 Nd 3.04-3.24
14 Ge 0.8866 0.7500 0.7733  5 Nd 3.04-3.24

Summary:
**SG**: Cmcm, No. 63
**Mass density**: 6.59 g cm⁻³



The following is a PBE-GGA calculation of a geometry-optimized Pr6Te5Ir structure, from the Alexandria database.

a b c (Å): 7.8087 9.0414 7.8264
angles (deg): 106.97 99.67 124.95
Last column: nearest neighbours and their distance in Å.
Positions (direct):
1 Te 0.0000 0.5000 0.0000  6 Pr 3.21-3.46
2 Te 0.6792 0.1792 0.3585  6 Pr 3.22-3.39
3 Te 0.3356 0.3356 0.6712  6 Pr 3.23
4 Te 0.3208 0.8208 0.6415  6 Pr 3.22-3.39
5 Te 0.6644 0.6644 0.3288  6 Pr 3.23
6 Pr 0.8477 0.0738 0.6991  1 Ir 2.88, 2 Te 3.21-3.22
7 Pr 0.8514 0.6252 0.6991  1 Ir 2.88, 2 Te 3.21-3.22
8 Pr 0.5408 0.7775 0.0000  1 Ir 2.94, 4 Te 3.23-3.28
9 Pr 0.4592 0.2225 0.0000  1 Ir 2.94, 4 Te 3.23-3.28
10 Pr 0.1486 0.3748 0.3009  1 Ir 2.88, 2 Te 3.21-3.22
11 Pr 0.1523 0.9262 0.3009  1 Ir 2.88, 2 Te 3.21-3.22
12 Ir 0.0000 0.0000 0.0000  6 Pr 2.88-2.94

Summary:
**SG**: C2/m, No. 12
**Mass density**: 7.11 g cm⁻³



The following is a PBE-GGA calculation of a geometry-optimized CuRu2PbO8 structure, from the Alexandria database.

a b c (Å): 5.7577 5.7577 6.7653
angles (deg): 90.00 90.00 120.00
Last column: nearest neighbours and their distance in Å.
Positions (direct):
1 O 0.3333 0.6667 0.0223  1 Ru 1.77
2 O 0.1365 0.3177 0.6971  1 Ru 1.80
3 O 0.6667 0.3333 0.9777  1 Ru 1.77
4 O 0.3177 0.1812 0.3029  1 Ru 1.80
5 O 0.6823 0.8188 0.6971  1 Ru 1.80
6 O 0.8635 0.6823 0.3029  1 Ru 1.80
7 O 0.8188 0.1365 0.3029  1 Ru 1.80
8 O 0.1812 0.8635 0.6971  1 Ru 1.80
9 Ru 0.3333 0.6667 0.7606  4 O 1.77-1.80
10 Ru 0.6667 0.3333 0.2394  4 O 1.77-1.80
11 Cu 0.0000 0.0000 0.5000  6 O 2.07
12 Pb 0.0000 0.0000 0.0000  6 O 2.59

Summary:
**SG**: P-3, No. 147
**Mass density**: 5.14 g cm⁻³



The following is a PBE-GGA calculation of a geometry-optimized LaMo2Os structure, from the Alexandria database.

a b c (Å): 4.2131 2.9434 6.4409
angles (deg): 80.10 90.00 90.00
Last column: nearest neighbours and their distance in Å.
Positions (direct):
1 La 0.5000 0.7573 0.7416  2 La 2.94, 2 Os 3.05, 3 Mo 3.15-3.19
2 Os 0.0000 0.5105 0.4361  3 Mo 2.57-2.61
3 Mo 0.0000 0.0087 0.0665  2 Mo 2.57, 1 Os 2.57
4 Mo 0.5000 0.2235 0.2558  2 Mo 2.57, 2 Os 2.61

Summary:
**SG**: Pm, No. 6
**Mass density**: 11.00 g cm⁻³
**E_form**: 0.4367 eV/atom
**ΔE to the lowest computed polymorph**: 83.0 meV/atom



The following is a PBE-GGA calculation of a geometry-optimized LaAlIr2 structure, from the Alexandria database.

a b c (Å): 3.7386 4.4558 4.4558
angles (deg): 90.00 90.00 90.00
Last column: nearest neighbours and their distance in Å.
Positions (direct):
1 Ir 0.0000 0.0000 0.0000  4 Al 2.91, 4 La 2.91, 4 Ir 3.15
2 Ir 0.0000 0.5000 0.5000  4 La 2.91, 4 Al 2.91, 4 Ir 3.15
3 La 0.5000 0.5000 0.0000  8 Ir 2.91, 4 Al 3.15
4 Al 0.5000 0.0000 0.5000  8 Ir 2.91, 4 La 3.15

Summary:
**SG**: P4/mmm, No. 123
**Mass density**: 12.31 g cm⁻³
**E_form**: -0.4290 eV/atom



The following is a PBE-GGA calculation of a geometry-optimized Zr3Ag structure, from the Alexandria database.

a b c (Å): 6.6655 5.1371 8.6977
angles (deg): 90.00 163.19 90.00
Last column: nearest neighbours and their distance in Å.
Positions (direct):
1 Zr 0.7243 0.5000 0.9815  6 Zr 2.92-3.12, 2 Ag 3.07
2 Zr 0.2757 0.5000 0.0185  6 Zr 2.92-3.12, 2 Ag 3.07
3 Zr 0.5000 0.0000 0.0000  6 Zr 3.01-3.05, 4 Ag 3.02-3.33
4 Ag 0.0000 0.0000 0.0000  2 Ag 3.01, 8 Zr 3.02-3.33

Summary:
**SG**: P2/m, No. 10
**Mass density**: 7.36 g cm⁻³
**E_form**: 0.0875 eV/atom



Calculated uncorrected energy (eV per cell), listed in the same order as above: -47.0; -9.3; -52.8; -13.4; -198.1; -55.2; -80.7; -69.3; -74.8; -36.1; -28.1; -28.1
Calculated DOS at the Fermi energy (states/eV/atom), listed in the same order as above: 0.30; 0.50; 1.97; 1.24; 0.66; 0.62; 0.43; 0.90; 0.52; 1.18; 0.37; 1.25